# 1
A plane-wave DFT calculation with PBE was carried out for a relaxed NbCr2BiTe crystal.

a b c (Å): 4.9593 4.9593 6.0434
angles (deg): 90.00 90.00 90.00
Last column: nearest neighbours and their distance in Å.
Fractional positions:
Nb 0.0000 0.0000 0.0000  4 Bi 3.51, 8 Cr 3.91
Cr 0.0000 0.5000 0.5000  2 Te 2.48
Cr 0.5000 0.0000 0.5000  2 Te 2.48
Bi 0.5000 0.5000 0.0000  2 Te 3.02
Te 0.5000 0.5000 0.5000  4 Cr 2.48

Calculated values
The volume is 148.6 Å³/f.u. For the energy relative to the elements, uncorrected, the calculation gives 1.44 eV/atom. The calculation puts the theoretical density at 6.0 Mg/m³. As for the space group: P4/mmm (123). The total energy is -5.829 eV per atom. The calculation puts the density of states at the Fermi level at 0.835 states/eV per atom.

***

# 2
A plane-wave DFT calculation with PBE was carried out for a relaxed Tb2NF2 crystal.

a b c (Å): 3.4865 3.4865 8.2121
angles (deg): 103.18 103.18 59.97
Last column: nearest neighbours and their distance in Å.
Fractional positions:
Tb 0.1059 0.1059 0.3304  3 F 2.37, 3 N 2.42
Tb 0.8941 0.8941 0.6696  3 F 2.37, 3 N 2.42
N 0.5000 0.5000 0.5000  6 Tb 2.42
F 0.2839 0.2839 0.8282  3 Tb 2.37
F 0.7161 0.7161 0.1718  3 Tb 2.37

Calculated values
The volume is 83.4 Å³/f.u. For the energy relative to the elements, uncorrected, the calculation gives -2.81 eV/atom. The calculation puts the theoretical density at 7.4 Mg/m³. As for the space group: C2/m (12). The total energy is -7.071 eV per atom. The calculation puts the density of states at the Fermi level at 0.389 states/eV per atom.

***

# 3
A plane-wave DFT calculation with PBE was carried out for a relaxed SrZrTa2 crystal.

a b c (Å): 3.0587 4.7774 6.9663
angles (deg): 90.00 99.13 90.00
Last column: nearest neighbours and their distance in Å.
Fractional positions:
Sr 0.0000 0.0000 0.0000  2 Sr 3.06
Zr 0.0000 0.0000 0.5000  4 Ta 2.93, 2 Zr 3.06
Ta 0.4431 0.5000 0.6807  1 Ta 2.60
Ta 0.5569 0.5000 0.3193  1 Ta 2.60

Calculated values
The volume is 100.5 Å³/f.u. The calculation puts the theoretical density at 8.9 Mg/m³. As for the space group: P2/m (10). The total energy is -7.833 eV per atom. The calculation puts the density of states at the Fermi level at 1.317 states/eV per atom.

***

# 4
A plane-wave DFT calculation with PBE was carried out for a relaxed PmLuScZn crystal.

a b c (Å): 5.2247 5.2247 5.2247
angles (deg): 60.00 60.00 60.00
Last column: nearest neighbours and their distance in Å.
Fractional positions:
Pm 0.0000 0.0000 0.0000  4 Sc 3.20, 4 Zn 3.20
Lu 0.5000 0.5000 0.5000  4 Zn 3.20, 4 Sc 3.20
Sc 0.7500 0.7500 0.7500  4 Lu 3.20, 4 Pm 3.20
Zn 0.2500 0.2500 0.2500  4 Lu 3.20, 4 Pm 3.20

Calculated values
The volume is 100.9 Å³/f.u. The calculation puts the theoretical density at 7.1 Mg/m³. As for the space group: F-43m (216). The total energy is -4.217 eV per atom. The calculation puts the density of states at the Fermi level at 1.142 states/eV per atom.

***

# 5
A plane-wave DFT calculation with PBE was carried out for a relaxed CuRh2Cl crystal.

a b c (Å): 4.4140 4.4140 4.8703
angles (deg): 98.86 98.86 38.49
Last column: nearest neighbours and their distance in Å.
Fractional positions:
Cu 0.0000 0.0000 0.0000  6 Rh 2.59-2.63, 4 Cl 2.84
Rh 0.2610 0.2610 0.7591  3 Cl 2.53-2.75, 3 Cu 2.59-2.63, 2 Rh 2.79
Rh 0.7390 0.7390 0.2409  3 Cl 2.53-2.75, 3 Cu 2.59-2.63, 2 Rh 2.79
Cl 0.5000 0.5000 0.5000  6 Rh 2.53-2.75

Calculated values
The volume is 58.3 Å³/f.u. For the energy relative to the elements, uncorrected, the calculation gives 0.42 eV/atom. The calculation puts the theoretical density at 8.7 Mg/m³. As for the space group: C2/m (12). The total energy is -4.744 eV per atom. The calculation puts the density of states at the Fermi level at 1.324 states/eV per atom.

***

# 6
A plane-wave DFT calculation with PBE was carried out for a relaxed K2MoOs crystal.

a b c (Å): 3.4601 3.4601 10.3923
angles (deg): 90.00 90.00 90.00
Last column: nearest neighbours and their distance in Å.
Fractional positions:
K 0.0000 0.0000 0.0000  1 Mo 3.34, 4 K 3.46, 4 Os 3.64
K 0.5000 0.5000 0.4135  1 Os 3.40, 4 K 3.46, 4 Mo 3.69
Mo 0.0000 0.0000 0.6789  4 Os 2.53
Os 0.5000 0.5000 0.7407  4 Mo 2.53

Calculated values
The volume is 124.4 Å³/f.u. The calculation puts the theoretical density at 4.9 Mg/m³. As for the space group: P4mm (99). The total energy is -5.255 eV per atom. The calculation puts the density of states at the Fermi level at 1.206 states/eV per atom.

***

# 7
A plane-wave DFT calculation with PBE was carried out for a relaxed HfNb2In crystal.

a b c (Å): 4.1320 4.1320 4.6360
angles (deg): 90.00 90.00 90.00
Last column: nearest neighbours and their distance in Å.
Fractional positions:
Hf 0.0000 0.0000 0.0000  4 In 2.92, 8 Nb 3.11
Nb 0.0000 0.5000 0.5000  4 Nb 2.92, 4 Hf 3.11, 4 In 3.11
Nb 0.5000 0.0000 0.5000  4 Nb 2.92, 4 Hf 3.11, 4 In 3.11
In 0.5000 0.5000 0.0000  4 Hf 2.92, 8 Nb 3.11

Calculated values
The volume is 79.2 Å³/f.u. The calculation puts the theoretical density at 10.1 Mg/m³. As for the space group: P4/mmm (123). The total energy is -8.243 eV per atom. The calculation puts the density of states at the Fermi level at 1.119 states/eV per atom.

***

# 8
A plane-wave DFT calculation with PBE was carried out for a relaxed Zr4TlN crystal.

a b c (Å): 8.3469 5.1805 6.7284
angles (deg): 90.00 111.76 90.00
Last column: nearest neighbours and their distance in Å.
Fractional positions:
Zr 0.1159 0.2494 0.3030  2 N 2.30-2.31
Zr 0.1159 0.2506 0.8030  2 N 2.30-2.31
Zr 0.2220 0.7364 0.1073  1 N 2.20
Zr 0.2220 0.7636 0.6073  1 N 2.20
Zr 0.7780 0.2364 0.3927  1 N 2.20
Zr 0.7780 0.2636 0.8927  1 N 2.20
Zr 0.8841 0.7494 0.1970  2 N 2.30-2.31
Zr 0.8841 0.7506 0.6970  2 N 2.30-2.31
Tl 0.5000 0.0000 0.0000  6 Zr 3.00-3.25
Tl 0.5000 0.5000 0.5000  6 Zr 3.00-3.25
N 0.0000 0.0000 0.0000  6 Zr 2.20-2.31
N 0.0000 0.5000 0.5000  6 Zr 2.20-2.31

Calculated values
The volume is 135.1 Å³/f.u. For the energy relative to the elements, uncorrected, the calculation gives -0.40 eV/atom. The calculation puts the theoretical density at 7.2 Mg/m³. As for the space group: P2_1/c (14). The total energy is -7.884 eV per atom. The calculation puts the density of states at the Fermi level at 0.781 states/eV per atom.

***

# 9
A plane-wave DFT calculation with PBE was carried out for a relaxed AlB2PdO crystal.

a b c (Å): 3.8648 3.8648 3.5165
angles (deg): 90.00 90.00 90.00
Last column: nearest neighbours and their distance in Å.
Fractional positions:
Al 0.0000 0.0000 0.0000  2 O 1.76
B 0.0000 0.5000 0.5000  2 O 1.93
B 0.5000 0.0000 0.5000  2 O 1.93
Pd 0.5000 0.5000 0.0000  8 B 2.61, 4 Al 2.73
O 0.0000 0.0000 0.5000  2 Al 1.76, 4 B 1.93

Calculated values
The volume is 52.5 Å³/f.u. For the energy relative to the elements, uncorrected, the calculation gives 0.58 eV/atom. The calculation puts the theoretical density at 5.4 Mg/m³. As for the space group: P4/mmm (123). The total energy is -4.873 eV per atom. The calculation puts the density of states at the Fermi level at 0.374 states/eV per atom.

***

# 10
A plane-wave DFT calculation with PBE was carried out for a relaxed La2Zn2Pt5Rh crystal.

a b c (Å): 9.6750 9.6750 3.9291
angles (deg): 90.00 90.00 90.00
Last column: nearest neighbours and their distance in Å.
Fractional positions:
La 0.1829 0.3171 0.0000  3 Zn 2.74-2.97
La 0.3171 0.8171 0.0000  3 Zn 2.74-2.97
La 0.6829 0.1829 0.0000  3 Zn 2.74-2.97
La 0.8171 0.6829 0.0000  3 Zn 2.74-2.97
Zn 0.1165 0.6165 0.0000  6 Pt 2.53-2.67, 1 La 2.74
Zn 0.3835 0.1165 0.0000  6 Pt 2.53-2.67, 1 La 2.74
Zn 0.6165 0.8835 0.0000  6 Pt 2.53-2.67, 1 La 2.74
Zn 0.8835 0.3835 0.0000  6 Pt 2.53-2.67, 1 La 2.74
Pt 0.0000 0.5000 0.5000  4 Zn 2.53
Pt 0.0600 0.7942 0.5000  2 Zn 2.67, 2 Rh 2.86, 3 Pt 2.91-2.93
Pt 0.2058 0.0600 0.5000  2 Zn 2.67, 2 Rh 2.86, 3 Pt 2.91-2.93
Pt 0.2942 0.5600 0.5000  2 Zn 2.67, 2 Rh 2.86, 3 Pt 2.91-2.93
Pt 0.4400 0.2942 0.5000  2 Zn 2.67, 2 Rh 2.86, 3 Pt 2.91-2.93
Pt 0.5000 0.0000 0.5000  4 Zn 2.53
Pt 0.5600 0.7058 0.5000  2 Zn 2.67, 2 Rh 2.86, 3 Pt 2.91-2.93
Pt 0.7058 0.4400 0.5000  2 Zn 2.67, 2 Rh 2.86, 3 Pt 2.91-2.93
Pt 0.7942 0.9400 0.5000  2 Zn 2.67, 2 Rh 2.86, 3 Pt 2.91-2.93
Pt 0.9400 0.2058 0.5000  2 Zn 2.67, 2 Rh 2.86, 3 Pt 2.91-2.93
Rh 0.0000 0.0000 0.0000  8 Pt 2.86
Rh 0.5000 0.5000 0.0000  8 Pt 2.86

Calculated values
The volume is 183.9 Å³/f.u. The calculation puts the theoretical density at 13.4 Mg/m³. As for the space group: P4/mbm (127). The total energy is -5.672 eV per atom. The calculation puts the density of states at the Fermi level at 0.897 states/eV per atom.

***

# 11
A plane-wave DFT calculation with PBE was carried out for a relaxed TbPr2Ge3Rh4 crystal.

a b c (Å): 4.2151 4.2151 11.2120
angles (deg): 90.00 90.00 90.00
Last column: nearest neighbours and their distance in Å.
Fractional positions:
Tb 0.0000 0.0000 0.0000  4 Rh 2.75, 4 Ge 2.98
Pr 0.0000 0.5000 0.7300  4 Ge 3.22, 8 Rh 3.23-3.33
Pr 0.5000 0.0000 0.2700  4 Ge 3.22, 8 Rh 3.23-3.33
Ge 0.0000 0.5000 0.3794  5 Rh 2.48-2.50
Ge 0.5000 0.0000 0.6206  5 Rh 2.48-2.50
Ge 0.5000 0.5000 0.0000  4 Rh 2.75, 4 Tb 2.98
Rh 0.0000 0.0000 0.5000  4 Ge 2.50
Rh 0.0000 0.5000 0.1580  3 Ge 2.48-2.75, 2 Tb 2.75
Rh 0.5000 0.0000 0.8420  3 Ge 2.48-2.75, 2 Tb 2.75
Rh 0.5000 0.5000 0.5000  4 Ge 2.50

Calculated values
The volume is 199.2 Å³/f.u. The calculation puts the theoretical density at 8.9 Mg/m³. As for the space group: P-4m2 (115). The total energy is -6.615 eV per atom. The calculation puts the density of states at the Fermi level at 0.674 states/eV per atom.

***

# 12
A plane-wave DFT calculation with PBE was carried out for a relaxed PuTaAs crystal.

a b c (Å): 4.0196 4.0196 8.2799
angles (deg): 103.93 103.93 89.98
Last column: nearest neighbours and their distance in Å.
Fractional positions:
Pu 0.1761 0.1761 0.3543  5 As 2.97-3.12
Pu 0.8239 0.8239 0.6457  5 As 2.97-3.12
Ta 0.0000 0.5000 0.0000  4 As 2.77, 4 Ta 2.84
Ta 0.5000 0.0000 0.0000  4 As 2.77, 4 Ta 2.84
As 0.3785 0.3785 0.7550  4 Ta 2.77, 4 Pu 2.97
As 0.6215 0.6215 0.2450  4 Ta 2.77, 4 Pu 2.97

Calculated values
The volume is 62.9 Å³/f.u. The calculation puts the theoretical density at 13.2 Mg/m³. As for the space group: C2/m (12). The total energy is -10.818 eV per atom. The calculation puts the density of states at the Fermi level at 3.096 states/eV per atom.